[1]
Here is a relaxed structure of Ce3Ni4Pt4 from Alexandria. Energies are from PBE-GGA.

abc: 6.4730 6.4730 6.4730
angles: 109.47 109.47 109.47
Positions (direct):
Ce 0.0000 0.5000 0.5000
Ce 0.5000 0.0000 0.5000
Ce 0.5000 0.5000 0.0000
Ni 0.0000 0.0000 0.7678
Ni 0.0000 0.7678 0.0000
Ni 0.2322 0.2322 0.2322
Ni 0.7678 0.0000 0.0000
Pt 0.0000 0.0000 0.4011
Pt 0.0000 0.4011 0.0000
Pt 0.4011 0.0000 0.0000
Pt 0.5989 0.5989 0.5989

Results
Symmetry   I-43m (217)
Calculated formation energy   -0.533 eV/atom

[2]
Here is a relaxed structure of Dy3Tl3GaTe8 from Alexandria. Energies are from PBE-GGA.

abc: 8.7380 8.7380 9.6051
angles: 117.10 117.10 59.95
Positions (direct):
Dy 0.0000 0.0000 0.0000
Dy 0.0000 0.5000 0.0000
Dy 0.5000 0.0000 0.0000
Tl 0.0000 0.5000 0.5000
Tl 0.5000 0.0000 0.5000
Tl 0.5000 0.5000 0.5000
Ga 0.5000 0.5000 0.0000
Te 0.2390 0.2390 0.2170
Te 0.2517 0.7262 0.2043
Te 0.2744 0.2744 0.7962
Te 0.2738 0.7483 0.7957
Te 0.7262 0.2517 0.2043
Te 0.7256 0.7256 0.2038
Te 0.7483 0.2738 0.7957
Te 0.7610 0.7610 0.7830

Results
Symmetry   C2/m (12)
Energy relative to the elements, uncorrected   -0.80 eV per atom

[3]
Here is a relaxed structure of Y2Al4PdAu3 from Alexandria. Energies are from PBE-GGA.

abc: 4.2915 4.2915 10.6045
angles: 90.00 90.00 90.00
Positions (direct):
Y 0.0000 0.5000 0.2488
Y 0.5000 0.0000 0.7512
Al 0.0000 0.0000 0.5000
Al 0.0000 0.5000 0.8720
Al 0.5000 0.0000 0.1280
Al 0.5000 0.5000 0.5000
Pd 0.5000 0.5000 0.0000
Au 0.0000 0.0000 0.0000
Au 0.0000 0.5000 0.6375
Au 0.5000 0.0000 0.3625

Results
Symmetry   P-4m2 (115)
Calculated formation energy   -0.766 eV/atom

no.,magnetic moment (μB per cell)
1,1.7
2,0.0
3,0.0